[1]
Material: SmAl2ReO8
Method: DFT, GGA-PBE
State: optimized geometry

Values from the calculation:
- Crystal system: monoclinic
- ΔE_f (raw): -234 kJ per mole of atoms
- Magnetization: 0.00 μB per formula unit
- Space-group type: No. 12

CIF file:
```
data_SmAl2ReO8
_cell_length_a 4.7312
_cell_length_b 4.7302
_cell_length_c 6.6329
_cell_angle_alpha 83.00
_cell_angle_beta 83.01
_cell_angle_gamma 81.65
_space_group_name_H-M_alt 'P 1'
_space_group_IT_number 1
_space_group_name_Hall 'P 1'
loop_
_atom_site_label
_atom_site_type_symbol
_atom_site_fract_x
_atom_site_fract_y
_atom_site_fract_z
Re1 Re 0.0000 0.0000 0.0000
Al1 Al 0.5448 0.5449 0.2885
Al2 Al 0.4552 0.4551 0.7115
O1 O 0.6708 0.6715 0.5069
O2 O 0.7926 0.2219 0.2074
O3 O 0.7388 0.7398 0.0619
O4 O 0.2211 0.7918 0.2075
O5 O 0.7789 0.2082 0.7925
O6 O 0.2612 0.2602 0.9381
O7 O 0.2074 0.7781 0.7926
O8 O 0.3292 0.3285 0.4931
Sm1 Sm 0.0000 0.0000 0.5000
```

[2]
Material: PrYPdAu
Method: DFT, GGA-PBE
State: optimized geometry

Values from the calculation:
- Crystal system: cubic
- Energy above the lowest structure with this stoichiometry: 53.0 meV/atom
- ΔE_f: -0.78 eV/atom
- Magnetization: 0.00 μB per formula unit
- Space-group type: No. 216

CIF file:
```
data_PrYPdAu
_cell_length_a 5.1429
_cell_length_b 5.1429
_cell_length_c 5.1429
_cell_angle_alpha 60.00
_cell_angle_beta 60.00
_cell_angle_gamma 60.00
_space_group_name_H-M_alt 'P 1'
_space_group_IT_number 1
_space_group_name_Hall 'P 1'
loop_
_atom_site_label
_atom_site_type_symbol
_atom_site_fract_x
_atom_site_fract_y
_atom_site_fract_z
Au1 Au 0.0000 0.0000 0.0000
Y1 Y 0.7500 0.7500 0.7500
Pr1 Pr 0.2500 0.2500 0.2500
Pd1 Pd 0.5000 0.5000 0.5000
```

[3]
Material: Be5SiIr6
Method: DFT, GGA-PBE
State: optimized geometry

Values from the calculation:
- Crystal system: orthorhombic
- ΔE_f (raw): -63 kJ per mole of atoms
- Magnetization: 0.00 μB per formula unit
- Space-group type: No. 71

CIF file:
```
data_Be5SiIr6
_cell_length_a 4.0185
_cell_length_b 6.9318
_cell_length_c 6.9318
_cell_angle_alpha 119.87
_cell_angle_beta 106.85
_cell_angle_gamma 106.85
_space_group_name_H-M_alt 'P 1'
_space_group_IT_number 1
_space_group_name_Hall 'P 1'
loop_
_atom_site_label
_atom_site_type_symbol
_atom_site_fract_x
_atom_site_fract_y
_atom_site_fract_z
Be1 Be 0.0000 0.3324 0.6676
Be2 Be 0.0000 0.6676 0.3324
Be3 Be 0.5000 0.1672 0.8328
Be4 Be 0.5000 0.8328 0.1672
Be5 Be 0.5000 0.5000 0.5000
Ir1 Ir 0.2521 0.4200 0.0841
Ir2 Ir 0.7540 0.2540 0.2540
Ir3 Ir 0.7479 0.9159 0.5800
Ir4 Ir 0.2521 0.0841 0.4200
Ir5 Ir 0.7479 0.5800 0.9159
Ir6 Ir 0.2460 0.7460 0.7460
Si1 Si 0.0000 0.0000 0.0000
```

[4]
Material: Pm2HoScSe4
Method: DFT, GGA-PBE
State: optimized geometry

Values from the calculation:
- Crystal system: monoclinic
- ΔE_f (raw): -168 kJ per mole of atoms
- Magnetization: 0.00 μB per formula unit
- Space-group type: No. 10

CIF file:
```
data_Pm2HoScSe4
_cell_length_a 4.0235
_cell_length_b 7.0065
_cell_length_c 7.2220
_cell_angle_alpha 108.73
_cell_angle_beta 90.00
_cell_angle_gamma 90.00
_space_group_name_H-M_alt 'P 1'
_space_group_IT_number 1
_space_group_name_Hall 'P 1'
loop_
_atom_site_label
_atom_site_type_symbol
_atom_site_fract_x
_atom_site_fract_y
_atom_site_fract_z
Sc1 Sc 0.0000 0.0000 0.0000
Se1 Se 0.5000 0.7639 0.7722
Se2 Se 0.0000 0.2498 0.7677
Se3 Se 0.5000 0.2361 0.2278
Se4 Se 0.0000 0.7502 0.2323
Pm1 Pm 0.5000 0.0000 0.5000
Pm2 Pm 0.0000 0.5000 0.5000
Ho1 Ho 0.5000 0.5000 0.0000
```

[5]
Material: Ga2Co3W
Method: DFT, GGA-PBE
State: optimized geometry

Values from the calculation:
- Crystal system: tetragonal
- ΔE_f: -0.19 eV/atom
- Magnetization: 0.00 μB per formula unit
- Space-group type: No. 123

CIF file:
```
data_Ga2Co3W
_cell_length_a 2.7591
_cell_length_b 2.7591
_cell_length_c 9.7074
_cell_angle_alpha 90.00
_cell_angle_beta 90.00
_cell_angle_gamma 90.00
_space_group_name_H-M_alt 'P 1'
_space_group_IT_number 1
_space_group_name_Hall 'P 1'
loop_
_atom_site_label
_atom_site_type_symbol
_atom_site_fract_x
_atom_site_fract_y
_atom_site_fract_z
Co1 Co 0.0000 0.0000 0.3186
Co2 Co 0.0000 0.0000 0.6814
Co3 Co 0.0000 0.0000 0.0000
Ga1 Ga 0.5000 0.5000 0.8412
Ga2 Ga 0.5000 0.5000 0.1588
W1 W 0.5000 0.5000 0.5000
```

[6]
Material: Ac3CePr2S6
Method: DFT, GGA-PBE
State: optimized geometry

Values from the calculation:
- Crystal system: monoclinic
- ΔE_f (raw): -194 kJ per mole of atoms
- Magnetization: 0.84 μB per formula unit
- Space-group type: No. 12

CIF file:
```
data_Ac3CePr2S6
_cell_length_a 7.2553
_cell_length_b 7.2553
_cell_length_c 7.2913
_cell_angle_alpha 99.59
_cell_angle_beta 99.59
_cell_angle_gamma 120.05
_space_group_name_H-M_alt 'P 1'
_space_group_IT_number 1
_space_group_name_Hall 'P 1'
loop_
_atom_site_label
_atom_site_type_symbol
_atom_site_fract_x
_atom_site_fract_y
_atom_site_fract_z
S1 S 0.9218 0.5923 0.7650
S2 S 0.7496 0.7496 0.2373
S3 S 0.2504 0.2504 0.7627
S4 S 0.5923 0.9218 0.7650
S5 S 0.4077 0.0782 0.2350
S6 S 0.0782 0.4077 0.2350
Ac1 Ac 0.5000 0.5000 0.5000
Ac2 Ac 0.1684 0.8316 0.5000
Ac3 Ac 0.8316 0.1684 0.5000
Pr1 Pr 0.6667 0.3333 0.0000
Pr2 Pr 0.3333 0.6667 0.0000
Ce1 Ce 0.0000 0.0000 0.0000
```